[1]
Density functional theory data (PBE) for CaCu after structural relaxation.

Output
Crystal system: cubic
N(E_F) in states/eV/cell: 12.3
Formation enthalpy at 0 K in eV/atom: 0.6085

Unit cell a=8.048 b=8.048 c=8.048 alpha=90.00 beta=90.00 gamma=90.00
Space group Pm-3n (No. 223)
Asymmetric unit:
Ca  0.000  0.250  0.500 [6 per cell]
Cu  0.000  0.500  0.250 [6 per cell]

[2]
Density functional theory data (PBE) for CaCu after structural relaxation.

Output
Crystal system: tetragonal
N(E_F) in states/eV/cell: 10.1
Formation enthalpy at 0 K in eV/atom: -0.0024

Unit cell a=8.665 b=8.665 c=4.984 alpha=90.00 beta=90.00 gamma=90.00
Space group I4/mmm (No. 139)
Asymmetric unit:
Ca  0.000  0.283  0.000 [8 per cell]
Cu  0.145  0.145  0.500 [8 per cell]

Question: Which formula does entry 1 have?
Answer: CaCu